(1)
The following is a PBE calculation of crystalline TmThZr2 at its relaxed geometry, from the Alexandria database.

a = 4.6796 Å, b = 4.7693 Å, c = 4.7693 Å
α = 90.00°, β = 90.00°, γ = 90.00°
Closest atoms and distances in Å follow each position.
Sites, in units of the cell vectors:
Tm: 0.5000 0.0000 0.0000  8 Zr 3.34, 4 Th 3.37
Zr: 0.0000 0.0000 0.5000  4 Tm 3.34, 4 Th 3.34, 4 Zr 3.37
Zr: 0.0000 0.5000 0.0000  4 Tm 3.34, 4 Th 3.34, 4 Zr 3.37
Th: 0.5000 0.5000 0.5000  8 Zr 3.34, 4 Tm 3.37

Results
**Calculated density**: 9.1 g cm⁻³
**DFT formation energy**: 0.08 eV per atom
**Crystal system**: tetragonal
**VASP energy**: -7.166 eV/atom
**ΔE to the lowest computed polymorph**: 0.0000 eV per atom
**Space group**: P4/mmm
**V**: 106 Å³ per cell

***

(2)
The following is a PBE calculation of crystalline Ba2AlGa6Pd at its relaxed geometry, from the Alexandria database.

a = 6.6714 Å, b = 7.3068 Å, c = 7.3973 Å
α = 53.90°, β = 62.83°, γ = 89.87°
Closest atoms and distances in Å follow each position.
Sites, in units of the cell vectors:
Ba: 0.7927 0.2064 0.4142  12 Ga 3.62-3.81, 1 Pd 3.89, 3 Al 3.90-3.94
Ba: 0.2073 0.7936 0.5858  12 Ga 3.62-3.81, 1 Pd 3.89, 3 Al 3.90-3.94
Al: 0.5000 0.5000 0.0000  6 Ga 2.68-2.69
Ga: 0.2474 0.3486 0.5003  1 Pd 2.50, 2 Ga 2.64-2.65, 1 Al 2.69
Ga: 0.6465 0.7451 0.1073  1 Pd 2.50, 2 Ga 2.64-2.65, 1 Al 2.68
Ga: 0.2513 0.7516 0.1041  1 Pd 2.49, 2 Ga 2.65, 1 Al 2.69
Ga: 0.7487 0.2484 0.8959  1 Pd 2.49, 2 Ga 2.65, 1 Al 2.69
Ga: 0.3535 0.2549 0.8927  1 Pd 2.50, 2 Ga 2.64-2.65, 1 Al 2.68
Ga: 0.7526 0.6514 0.4997  1 Pd 2.50, 2 Ga 2.64-2.65, 1 Al 2.69
Pd: 0.0000 0.0000 0.0000  6 Ga 2.49-2.50

Results
**Calculated density**: 5.7 g cm⁻³
**DFT formation energy**: -0.41 eV per atom
**Crystal system**: triclinic
**VASP energy**: -3.499 eV/atom
**Space group**: P-1
**V**: 241 Å³ per cell

***

(3)
The following is a PBE calculation of crystalline ZrVIr2Pt at its relaxed geometry, from the Alexandria database.

a = 4.8397 Å, b = 4.8397 Å, c = 4.8088 Å
α = 90.00°, β = 90.00°, γ = 90.00°
Closest atoms and distances in Å follow each position.
Sites, in units of the cell vectors:
Ir: 0.0000 0.5000 0.0000  2 Pt 2.42
Ir: 0.5000 0.0000 0.0000  2 Pt 2.42
Zr: 0.0000 0.0000 0.5000  2 Pt 2.40
Pt: 0.0000 0.0000 0.0000  2 Zr 2.40, 4 Ir 2.42
V: 0.5000 0.5000 0.5000  8 Ir 3.41, 4 Zr 3.42

Results
**Calculated density**: 10.6 g cm⁻³
**DFT formation energy**: 1.52 eV per atom
**Crystal system**: tetragonal
**VASP energy**: -6.764 eV/atom
**Space group**: P4/mmm
**V**: 113 Å³ per cell

***

(4)
The following is a PBE calculation of crystalline Zn2GeRh2 at its relaxed geometry, from the Alexandria database.

a = 6.6849 Å, b = 6.6849 Å, c = 5.2591 Å
α = 38.57°, β = 38.57°, γ = 36.59°
Closest atoms and distances in Å follow each position.
Sites, in units of the cell vectors:
Zn: 0.3328 0.3328 0.7078  5 Rh 2.56-2.72, 3 Zn 2.74-2.76
Zn: 0.6672 0.6672 0.2922  5 Rh 2.56-2.72, 3 Zn 2.74-2.76
Ge: 0.0000 0.0000 0.0000  6 Rh 2.51-2.53
Rh: 0.6677 0.6677 0.8039  3 Ge 2.51-2.53, 5 Zn 2.56-2.72
Rh: 0.3323 0.3323 0.1961  3 Ge 2.51-2.53, 5 Zn 2.56-2.72

Results
**Calculated density**: 8.6 g cm⁻³
**DFT formation energy**: -0.34 eV per atom
**Crystal system**: monoclinic
**VASP energy**: -4.718 eV/atom
**ΔE to the lowest computed polymorph**: 0.0254 eV per atom
**Space group**: C2/m
**V**: 79 Å³ per cell

***

(5)
The following is a PBE calculation of crystalline Li3La2Ag2Sn4 at its relaxed geometry, from the Alexandria database.

a = 4.5959 Å, b = 4.5959 Å, c = 14.1479 Å
α = 99.35°, β = 99.35°, γ = 90.00°
Closest atoms and distances in Å follow each position.
Sites, in units of the cell vectors:
Li: 0.0000 0.0000 0.0000  8 Ag 3.52, 8 Sn 3.76
Li: 0.1701 0.1701 0.3402  4 Sn 2.86
Li: 0.8299 0.8299 0.6598  4 Sn 2.86
La: 0.3008 0.3008 0.6017  5 Li 3.35-3.60, 4 Sn 3.40
La: 0.6992 0.6992 0.3983  5 Li 3.35-3.60, 4 Sn 3.40
Ag: 0.4512 0.4512 0.9024  1 Ag 2.69, 4 Sn 2.82
Ag: 0.5488 0.5488 0.0976  1 Ag 2.69, 4 Sn 2.82
Sn: 0.3917 0.8917 0.7834  2 Ag 2.82, 2 Li 2.86
Sn: 0.8917 0.3917 0.7834  2 Ag 2.82, 2 Li 2.86
Sn: 0.1083 0.6083 0.2166  2 Ag 2.82, 2 Li 2.86
Sn: 0.6083 0.1083 0.2166  2 Ag 2.82, 2 Li 2.86

Results
**Calculated density**: 5.6 g cm⁻³
**DFT formation energy**: -0.13 eV per atom
**Crystal system**: tetragonal
**VASP energy**: -3.521 eV/atom
**Space group**: I4/mmm
**V**: 291 Å³ per cell

***

(6)
The following is a PBE calculation of crystalline TiSbSe2 at its relaxed geometry, from the Alexandria database.

a = 6.6801 Å, b = 6.6801 Å, c = 7.0771 Å
α = 61.84°, β = 61.84°, γ = 90.00°
Closest atoms and distances in Å follow each position.
Sites, in units of the cell vectors:
Sb: 0.0000 0.0000 0.0000  4 Se 2.97
Sb: 0.7500 0.2500 0.5000  4 Se 2.97
Se: 0.5636 0.1250 0.2500  2 Ti 2.47
Se: 0.1864 0.6250 0.2500  2 Ti 2.47
Se: 0.3750 0.4364 0.7500  2 Ti 2.47
Se: 0.8750 0.8136 0.7500  2 Ti 2.47
Ti: 0.5000 0.5000 0.0000  4 Se 2.47
Ti: 0.2500 0.7500 0.5000  4 Se 2.47

Results
**Calculated density**: 4.6 g cm⁻³
**Crystal system**: tetragonal
**VASP energy**: -4.947 eV/atom
**Space group**: I-42d
**Formation energy from raw total energies**: -0.200 eV per atom
**V**: 235 Å³ per cell

***

(7)
The following is a PBE calculation of crystalline InCuRe2 at its relaxed geometry, from the Alexandria database.

a = 3.7697 Å, b = 3.7697 Å, c = 10.1154 Å
α = 79.26°, β = 79.26°, γ = 90.00°
Closest atoms and distances in Å follow each position.
Sites, in units of the cell vectors:
Re: 0.5811 0.1250 0.2500  2 Re 2.44, 2 Cu 2.73
Re: 0.1689 0.6250 0.2500  2 Re 2.44, 2 Cu 2.73
Re: 0.3750 0.4189 0.7500  2 Re 2.44, 2 Cu 2.73
Re: 0.8750 0.8311 0.7500  2 Re 2.44, 2 Cu 2.73
Cu: 0.5000 0.5000 0.0000  4 In 2.67, 4 Re 2.73
Cu: 0.2500 0.7500 0.5000  4 In 2.67, 4 Re 2.73
In: 0.0000 0.0000 0.0000  4 Cu 2.67, 4 Re 2.84
In: 0.7500 0.2500 0.5000  4 Cu 2.67, 4 Re 2.84

Results
**Calculated density**: 13.2 g cm⁻³
**DFT formation energy**: 0.72 eV per atom
**Crystal system**: tetragonal
**VASP energy**: -7.208 eV/atom
**Space group**: I-42d
**V**: 139 Å³ per cell

***

(8)
The following is a PBE calculation of crystalline SmLuCdPd at its relaxed geometry, from the Alexandria database.

a = 5.1278 Å, b = 5.1278 Å, c = 5.1278 Å
α = 60.00°, β = 60.00°, γ = 60.00°
Closest atoms and distances in Å follow each position.
Sites, in units of the cell vectors:
Lu: 0.5000 0.5000 0.5000  4 Cd 3.14, 4 Pd 3.14
Pd: 0.2500 0.2500 0.2500  4 Lu 3.14, 4 Sm 3.14
Sm: 0.0000 0.0000 0.0000  4 Pd 3.14, 4 Cd 3.14
Cd: 0.7500 0.7500 0.7500  4 Sm 3.14, 4 Lu 3.14

Results
**Calculated density**: 9.5 g cm⁻³
**DFT formation energy**: -0.53 eV per atom
**Crystal system**: cubic
**VASP energy**: -4.367 eV/atom
**Space group**: F-43m
**V**: 95 Å³ per cell

***

(9)
The following is a PBE calculation of crystalline BeCrCd2Fe at its relaxed geometry, from the Alexandria database.

a = 4.8360 Å, b = 3.9671 Å, c = 4.8360 Å
α = 90.00°, β = 90.00°, γ = 90.00°
Closest atoms and distances in Å follow each position.
Sites, in units of the cell vectors:
Cr: 0.5000 0.5000 0.5000  8 Cd 3.13, 4 Be 3.42
Be: 0.0000 0.5000 0.0000  2 Fe 1.98
Fe: 0.0000 0.0000 0.0000  2 Be 1.98
Cd: 0.0000 0.0000 0.5000  2 Fe 2.42
Cd: 0.5000 0.0000 0.0000  2 Fe 2.42

Results
**Calculated density**: 6.1 g cm⁻³
**DFT formation energy**: 1.34 eV per atom
**Crystal system**: tetragonal
**VASP energy**: -3.386 eV/atom
**Space group**: P4/mmm
**V**: 93 Å³ per cell

***

(10)
The following is a PBE calculation of crystalline Er6Mg2Pd at its relaxed geometry, from the Alexandria database.

a = 6.6437 Å, b = 7.2319 Å, c = 11.1139 Å
α = 90.00°, β = 72.53°, γ = 90.00°
Closest atoms and distances in Å follow each position.
Sites, in units of the cell vectors:
Er: 0.8421 0.9673 0.2488  1 Pd 3.27, 3 Mg 3.28-3.60, 7 Er 3.48-3.65
Er: 0.8198 0.6613 0.4992  1 Pd 2.73
Er: 0.8607 0.7070 0.9687  1 Pd 2.76
Er: 0.6393 0.2070 0.5313  1 Pd 2.76
Er: 0.6802 0.1613 0.0008  1 Pd 2.73
Er: 0.6579 0.4673 0.2512  1 Pd 3.27, 3 Mg 3.28-3.60, 7 Er 3.48-3.65
Er: 0.1579 0.0327 0.7512  1 Pd 3.27, 3 Mg 3.28-3.60, 7 Er 3.48-3.65
Er: 0.1802 0.3387 0.5008  1 Pd 2.73
Er: 0.1393 0.2930 0.0313  1 Pd 2.76
Er: 0.3607 0.7930 0.4687  1 Pd 2.76
Er: 0.3198 0.8387 0.9992  1 Pd 2.73
Er: 0.3421 0.5327 0.7488  1 Pd 3.27, 3 Mg 3.28-3.60, 7 Er 3.48-3.65
Mg: 0.8170 0.4213 0.7568  1 Pd 2.94, 4 Er 3.19-3.28
Mg: 0.6830 0.9213 0.7432  1 Pd 2.94, 4 Er 3.19-3.28
Mg: 0.3170 0.0787 0.2568  1 Pd 2.94, 4 Er 3.19-3.28
Mg: 0.1830 0.5787 0.2432  1 Pd 2.94, 4 Er 3.19-3.28
Pd: 0.5000 0.5000 0.0000  4 Er 2.73-2.76, 2 Mg 2.94
Pd: 0.0000 0.0000 0.5000  4 Er 2.73-2.76, 2 Mg 2.94

Results
**Calculated density**: 7.6 g cm⁻³
**DFT formation energy**: -0.10 eV per atom
**Crystal system**: monoclinic
**VASP energy**: -4.070 eV/atom
**Space group**: P2_1/c
**V**: 509 Å³ per cell

***

(11)
The following is a PBE calculation of crystalline Hf2B2Pt at its relaxed geometry, from the Alexandria database.

a = 5.0482 Å, b = 5.0482 Å, c = 4.5867 Å
α = 56.61°, β = 56.61°, γ = 90.00°
Closest atoms and distances in Å follow each position.
Sites, in units of the cell vectors:
B: 0.3622 0.3622 0.2756  1 B 1.59
B: 0.6378 0.6378 0.7244  1 B 1.59
Hf: 0.7500 0.2500 0.5000  4 B 2.61, 2 Hf 2.88, 4 Pt 2.91
Hf: 0.2500 0.7500 0.5000  4 B 2.61, 2 Hf 2.88, 4 Pt 2.91
Pt: 0.0000 0.0000 0.0000  2 B 2.09

Results
**Calculated density**: 13.0 g cm⁻³
**DFT formation energy**: -0.39 eV per atom
**Crystal system**: tetragonal
**VASP energy**: -8.248 eV/atom
**ΔE to the lowest computed polymorph**: 0.4898 eV per atom
**Space group**: I4/mmm
**V**: 73 Å³ per cell

***

(12)
The following is a PBE calculation of crystalline Nd4Dy2Ge3O2 at its relaxed geometry, from the Alexandria database.

a = 4.7024 Å, b = 4.7024 Å, c = 12.5214 Å
α = 100.82°, β = 100.82°, γ = 90.00°
Closest atoms and distances in Å follow each position.
Sites, in units of the cell vectors:
Nd: 0.4183 0.9183 0.8367  2 O 2.43
Nd: 0.9183 0.4183 0.8367  2 O 2.43
Nd: 0.0817 0.5817 0.1633  2 O 2.43
Nd: 0.5817 0.0817 0.1633  2 O 2.43
Dy: 0.3001 0.3001 0.6003  1 O 2.24
Dy: 0.6999 0.6999 0.3997  1 O 2.24
Ge: 0.0000 0.0000 0.0000  8 Nd 3.07
Ge: 0.1777 0.1777 0.3554  1 Dy 2.96, 4 Nd 3.30
Ge: 0.8223 0.8223 0.6446  1 Dy 2.96, 4 Nd 3.30
O: 0.3928 0.3928 0.7857  1 Dy 2.24, 4 Nd 2.43
O: 0.6072 0.6072 0.2143  1 Dy 2.24, 4 Nd 2.43

Results
**Calculated density**: 7.2 g cm⁻³
**Crystal system**: tetragonal
**VASP energy**: -6.201 eV/atom
**Space group**: I4/mmm
**Formation energy from raw total energies**: -1.469 eV per atom
**V**: 267 Å³ per cell

***

(13)
The following is a PBE calculation of crystalline Ac2NdCd at its relaxed geometry, from the Alexandria database.

a = 3.9120 Å, b = 3.9120 Å, c = 11.7792 Å
α = 80.44°, β = 80.44°, γ = 60.00°
Closest atoms and distances in Å follow each position.
Sites, in units of the cell vectors:
Ac: 0.0775 0.0775 0.7676  3 Cd 3.50, 3 Nd 3.82, 6 Ac 3.91
Ac: 0.2561 0.2561 0.2318  3 Cd 3.51, 3 Nd 3.85, 6 Ac 3.91
Nd: 0.4995 0.4995 0.5014  6 Ac 3.82-3.85, 6 Nd 3.91
Cd: 0.6669 0.6669 0.9992  6 Ac 3.50-3.51, 6 Cd 3.91

Results
**Calculated density**: 7.7 g cm⁻³
**DFT formation energy**: -0.03 eV per atom
**Crystal system**: trigonal
**VASP energy**: -3.504 eV/atom
**ΔE to the lowest computed polymorph**: 0.1041 eV per atom
**Space group**: R3m
**V**: 153 Å³ per cell